No. 1
## La2Pm5Pb4 (PBE-GGA)

Data for La2Pm5Pb4 after structural relaxation.

Lattice parameters (Å, degrees): 3.6106 8.4954 14.4171 123.64 97.19 90.00
With the nearest neighbours (Å) after each atom.
Positions (direct):
1 La 0.7324 0.6434 0.4648  6 Pm 3.44-3.71, 1 Pb 3.44, 4 La 3.60-3.61
2 La 0.2676 0.3566 0.5352  6 Pm 3.44-3.71, 1 Pb 3.44, 4 La 3.60-3.61
3 Pm 0.1766 0.8703 0.3533  3 Pb 3.42-3.43, 3 La 3.44-3.60, 3 Pm 3.61-3.78
4 Pm 0.8234 0.1297 0.6467  3 Pb 3.42-3.43, 3 La 3.44-3.60, 3 Pm 3.61-3.78
5 Pm 0.1275 0.2011 0.2549  3 Pb 3.34-3.46, 3 La 3.45-3.71, 4 Pm 3.54-3.61
6 Pm 0.5000 0.0000 0.0000  6 Pb 3.30-3.55, 6 Pm 3.54-3.61
7 Pm 0.8725 0.7989 0.7451  3 Pb 3.34-3.46, 3 La 3.45-3.71, 4 Pm 3.54-3.61
8 Pb 0.5908 0.4645 0.1816  5 Pm 3.30-3.46, 1 La 3.44, 4 Pb 3.58-3.61
9 Pb 0.0384 0.7290 0.0768  5 Pb 3.23-3.61, 4 Pm 3.34-3.55
10 Pb 0.4092 0.5355 0.8184  5 Pm 3.30-3.46, 1 La 3.44, 4 Pb 3.58-3.61
11 Pb 0.9616 0.2710 0.9232  5 Pb 3.23-3.61, 4 Pm 3.34-3.55

Calculated values
Its space group is C2/m, No. 12. For the total energy, the calculation gives -4.4827 eV/atom. The calculation puts the energy of formation from the pure elements at -0.08 eV per atom. As for the density of states at the Fermi level: 12.7 states/eV/f.u.

No. 2
## Pr2TmSb3 (PBE-GGA)

Data for Pr2TmSb3 after structural relaxation.

Lattice parameters (Å, degrees): 4.4886 6.3564 7.7642 114.16 106.80 90.00
With the nearest neighbours (Å) after each atom.
Positions (direct):
1 Pr 0.6688 0.1688 0.3375  6 Sb 3.18-3.23
2 Pr 0.3312 0.8312 0.6625  6 Sb 3.18-3.23
3 Tm 0.0000 0.5000 0.0000  6 Sb 3.10-3.18
4 Sb 0.3412 0.3412 0.6824  2 Tm 3.10, 4 Pr 3.18-3.23
5 Sb 0.0000 0.0000 0.0000  2 Tm 3.18, 4 Pr 3.19
6 Sb 0.6588 0.6588 0.3176  2 Tm 3.10, 4 Pr 3.18-3.23

Calculated values
Its space group is Immm, No. 71. For the uncorrected formation energy, the calculation gives -1135 meV per atom. For the total energy, the calculation gives -5.5345 eV/atom. As for the density of states at the Fermi level: 1.2 states/eV/f.u.

No. 3
## ZrSc2CoPb (PBE-GGA)

Data for ZrSc2CoPb after structural relaxation.

Lattice parameters (Å, degrees): 4.8483 4.8483 4.8232 90.00 90.00 90.00
With the nearest neighbours (Å) after each atom.
Positions (direct):
1 Pb 0.5000 0.5000 0.5000  8 Sc 3.42, 4 Zr 3.43
2 Sc 0.0000 0.5000 0.0000  2 Co 2.42
3 Sc 0.5000 0.0000 0.0000  2 Co 2.42
4 Co 0.0000 0.0000 0.0000  2 Zr 2.41, 4 Sc 2.42
5 Zr 0.0000 0.0000 0.5000  2 Co 2.41

Calculated values
Its space group is P4/mmm, No. 123. For the total energy, the calculation gives -6.5836 eV/atom. The calculation puts the energy of formation from the pure elements at -0.18 eV per atom. As for the density of states at the Fermi level: 5.2 states/eV/f.u.

No. 4
## K2Zn2Ag3 (PBE-GGA)

Data for K2Zn2Ag3 after structural relaxation.

Lattice parameters (Å, degrees): 3.1308 6.6756 8.9002 95.79 79.23 75.78
With the nearest neighbours (Å) after each atom.
Positions (direct):
1 K 0.2742 0.7745 0.6389  2 K 3.13, 1 Ag 3.27
2 K 0.7258 0.2255 0.3611  2 K 3.13, 1 Ag 3.27
3 Zn 0.3292 0.3373 0.0062  2 Zn 2.63-2.65, 5 Ag 2.66-2.85
4 Zn 0.6708 0.6627 0.9938  2 Zn 2.63-2.65, 5 Ag 2.66-2.85
5 Ag 0.0000 0.0000 0.0000  4 Zn 2.66-2.70
6 Ag 0.0258 0.6793 0.2535  3 Zn 2.74-2.85
7 Ag 0.9742 0.3207 0.7465  3 Zn 2.74-2.85

Calculated values
Its space group is P-1, No. 2. For the total energy, the calculation gives -1.8139 eV/atom. The calculation puts the energy of formation from the pure elements at 0.09 eV per atom. As for the density of states at the Fermi level: 1.7 states/eV/f.u.

No. 5
## LaSc2NbBi (PBE-GGA)

Data for LaSc2NbBi after structural relaxation.

Lattice parameters (Å, degrees): 5.1207 5.5727 5.1207 90.00 90.00 90.00
With the nearest neighbours (Å) after each atom.
Positions (direct):
1 Sc 0.0000 0.0000 0.5000  2 Nb 2.56
2 Sc 0.5000 0.0000 0.0000  2 Nb 2.56
3 Nb 0.0000 0.0000 0.0000  4 Sc 2.56, 2 Bi 2.79
4 Bi 0.0000 0.5000 0.0000  2 Nb 2.79
5 La 0.5000 0.5000 0.5000  4 Bi 3.62, 8 Sc 3.78

Calculated values
Its space group is P4/mmm, No. 123. For the total energy, the calculation gives -6.1013 eV/atom. The calculation puts the energy of formation from the pure elements at 0.21 eV per atom. As for the density of states at the Fermi level: 6.7 states/eV/f.u.

No. 6
## AsPt2Br (PBE-GGA)

Data for AsPt2Br after structural relaxation.

Lattice parameters (Å, degrees): 3.5779 3.5779 7.2140 75.51 75.51 59.97
With the nearest neighbours (Å) after each atom.
Positions (direct):
1 As 0.7500 0.7500 0.7500  6 Pt 2.53
2 Br 0.2500 0.2500 0.2500  6 Pt 2.86-2.87
3 Pt 0.0121 0.0121 0.9619  3 As 2.53
4 Pt 0.4879 0.4879 0.5381  3 As 2.53

Calculated values
Its space group is C2/m, No. 12. For the uncorrected formation energy, the calculation gives 32 meV per atom. For the total energy, the calculation gives -4.5687 eV/atom. As for the density of states at the Fermi level: 1.5 states/eV/f.u.

No. 7
## ZrTa3Br (PBE-GGA)

Data for ZrTa3Br after structural relaxation.

Lattice parameters (Å, degrees): 4.7414 4.7414 4.7414 90.00 90.00 90.00
With the nearest neighbours (Å) after each atom.
Positions (direct):
1 Br 0.0000 0.0000 0.0000  6 Ta 2.37
2 Zr 0.5000 0.5000 0.5000  12 Ta 3.35
3 Ta 0.0000 0.5000 0.0000  2 Br 2.37
4 Ta 0.0000 0.0000 0.5000  2 Br 2.37
5 Ta 0.5000 0.0000 0.0000  2 Br 2.37

Calculated values
Its space group is Pm-3m, No. 221. For the uncorrected formation energy, the calculation gives 1132 meV per atom. For the total energy, the calculation gives -8.0241 eV/atom. As for the density of states at the Fermi level: 4.0 states/eV/f.u.

No. 8
## HgSeN2Cl (PBE-GGA)

Data for HgSeN2Cl after structural relaxation.

Lattice parameters (Å, degrees): 4.2601 4.2601 6.2467 90.00 90.00 90.00
With the nearest neighbours (Å) after each atom.
Positions (direct):
1 N 0.0000 0.5000 0.0000  2 Hg 2.13
2 N 0.5000 0.0000 0.0000  2 Hg 2.13
3 Hg 0.0000 0.0000 0.0000  4 N 2.13
4 Se 0.0000 0.0000 0.5000  4 Cl 3.01, 2 Hg 3.12
5 Cl 0.5000 0.5000 0.5000  4 Se 3.01

Calculated values
Its space group is P4/mmm, No. 123. For the uncorrected formation energy, the calculation gives 1905 meV per atom. For the total energy, the calculation gives -2.5513 eV/atom. As for the density of states at the Fermi level: 2.5 states/eV/f.u.

No. 9
## K2MoP (PBE-GGA)

Data for K2MoP after structural relaxation.

Lattice parameters (Å, degrees): 6.2544 6.2544 6.2544 141.77 141.77 55.18
With the nearest neighbours (Å) after each atom.
Positions (direct):
1 K 0.0000 0.0000 0.0000  4 K 2.90
2 K 0.5000 0.5000 0.0000  4 K 2.90
3 Mo 0.2500 0.7500 0.5000  4 P 2.90
4 P 0.7500 0.2500 0.5000  4 Mo 2.90

Calculated values
Its space group is I4/mmm, No. 139. For the total energy, the calculation gives -3.7280 eV/atom. The calculation puts the energy of formation from the pure elements at 0.88 eV per atom. As for the density of states at the Fermi level: 1.5 states/eV/f.u.

No. 10
## KAg2C2O6 (PBE-GGA)

Data for KAg2C2O6 after structural relaxation.

Lattice parameters (Å, degrees): 6.1287 6.0120 5.6826 106.30 81.01 69.15
With the nearest neighbours (Å) after each atom.
Positions (direct):
1 K 0.5000 0.0000 0.5000  4 O 2.68-2.82
2 Ag 0.8108 0.4436 0.7939  3 O 2.17-2.35
3 Ag 0.1892 0.5564 0.2061  3 O 2.17-2.35
4 C 0.2468 0.6766 0.7647  3 O 1.29-1.32
5 C 0.7532 0.3234 0.2353  3 O 1.29-1.32
6 O 0.3458 0.7678 0.9276  1 C 1.29
7 O 0.8333 0.4916 0.1996  1 C 1.32
8 O 0.2284 0.7466 0.5718  1 C 1.29
9 O 0.1667 0.5084 0.8004  1 C 1.32
10 O 0.7716 0.2534 0.4282  1 C 1.29
11 O 0.6542 0.2322 0.0724  1 C 1.29

Calculated values
Its space group is P-1, No. 2. For the uncorrected formation energy, the calculation gives -1062 meV per atom. For the total energy, the calculation gives -6.0614 eV/atom. As for the density of states at the Fermi level: 1.9 states/eV/f.u.

No. 11
## LiAc2LaSe4 (PBE-GGA)

Data for LiAc2LaSe4 after structural relaxation.

Lattice parameters (Å, degrees): 4.3752 7.4773 7.5686 70.26 90.00 90.00
With the nearest neighbours (Å) after each atom.
Positions (direct):
1 Li 0.5000 0.5000 0.0000  6 Se 2.96-2.99
2 Ac 0.0000 0.0000 0.0000  6 Se 3.12
3 Ac 0.5000 0.0000 0.5000  6 Se 3.17-3.19
4 La 0.0000 0.5000 0.5000  6 Se 3.04
5 Se 0.0000 0.7323 0.7614  2 Li 2.99, 1 La 3.04, 3 Ac 3.12-3.17
6 Se 0.0000 0.2677 0.2386  2 Li 2.99, 1 La 3.04, 3 Ac 3.12-3.17
7 Se 0.5000 0.7341 0.2469  1 Li 2.96, 2 La 3.04, 3 Ac 3.12-3.19
8 Se 0.5000 0.2659 0.7531  1 Li 2.96, 2 La 3.04, 3 Ac 3.12-3.19

Calculated values
Its space group is P2/m, No. 10. For the uncorrected formation energy, the calculation gives -1798 meV per atom. For the total energy, the calculation gives -5.4227 eV/atom. As for the density of states at the Fermi level: 3.1 states/eV/f.u.

No. 12
## VCr2BiB (PBE-GGA)

Data for VCr2BiB after structural relaxation.

Lattice parameters (Å, degrees): 4.5574 4.1702 4.5574 90.00 90.00 90.00
With the nearest neighbours (Å) after each atom.
Positions (direct):
1 Cr 0.0000 0.0000 0.5000  2 V 2.28
2 Cr 0.5000 0.0000 0.0000  2 V 2.28
3 B 0.0000 0.5000 0.0000  2 V 2.09
4 Bi 0.5000 0.5000 0.5000  8 Cr 3.09, 4 B 3.22
5 V 0.0000 0.0000 0.0000  2 B 2.09, 4 Cr 2.28

Calculated values
Its space group is P4/mmm, No. 123. For the total energy, the calculation gives -6.6214 eV/atom. The calculation puts the energy of formation from the pure elements at 1.16 eV per atom. As for the density of states at the Fermi level: 4.6 states/eV/f.u.